No. 1
Entry from the Alexandria database: crystalline LiMoAs at its relaxed geometry (GGA-PBE).

Unit cell a=3.2061 b=3.2061 c=8.4686 alpha=90.00 beta=90.00 gamma=90.00
Closest atoms and distances in Å follow each position.
Atoms (fractional coordinates):
Li (0.0000, 0.0000, 0.0000)  5 As 2.63-2.89, 5 Mo 2.68-2.75
Li (0.5000, 0.5000, 0.5000)  5 As 2.63-2.89, 5 Mo 2.68-2.75
Mo (0.0000, 0.0000, 0.6831)  5 As 2.63-2.89, 5 Li 2.68-2.75
Mo (0.5000, 0.5000, 0.1831)  5 As 2.63-2.89, 5 Li 2.68-2.75
As (0.0000, 0.0000, 0.3416)  5 Li 2.63-2.89, 5 Mo 2.63-2.89
As (0.5000, 0.5000, 0.8416)  5 Li 2.63-2.89, 5 Mo 2.63-2.89

energy of formation: -9 meV/atom

No. 2
Entry from the Alexandria database: crystalline TlCuTe2 at its relaxed geometry (GGA-PBE).

Unit cell a=3.9925 b=3.9925 c=23.5580 alpha=90.00 beta=90.00 gamma=120.00
Closest atoms and distances in Å follow each position.
Atoms (fractional coordinates):
Tl (0.0000, 0.0000, 0.0000)  6 Te 3.38-3.39
Tl (0.3333, 0.6667, 0.6667)  6 Te 3.38-3.39
Tl (0.6667, 0.3333, 0.3333)  6 Te 3.38-3.39
Cu (0.0000, 0.0000, 0.8329)  6 Te 2.71-2.73
Cu (0.3333, 0.6667, 0.4996)  6 Te 2.71-2.73
Cu (0.6667, 0.3333, 0.1662)  6 Te 2.71-2.73
Te (0.0000, 0.0000, 0.2286)  3 Cu 2.73
Te (0.0000, 0.0000, 0.4389)  3 Cu 2.71
Te (0.3333, 0.6667, 0.1055)  3 Cu 2.71
Te (0.3333, 0.6667, 0.8953)  3 Cu 2.73
Te (0.6667, 0.3333, 0.5620)  3 Cu 2.73
Te (0.6667, 0.3333, 0.7722)  3 Cu 2.71

total DFT energy (no corrections): -3.2356 eV/atom

No. 3
Entry from the Alexandria database: crystalline ReMo2 at its relaxed geometry (GGA-PBE).

Unit cell a=2.7971 b=2.7971 c=24.8338 alpha=90.00 beta=90.00 gamma=90.00
Closest atoms and distances in Å follow each position.
Atoms (fractional coordinates):
Re (0.0000, 0.2500, 0.3750)  8 Mo 2.75, 4 Re 2.80
Re (0.0000, 0.7500, 0.6250)  8 Mo 2.75, 4 Re 2.80
Re (0.5000, 0.2500, 0.1250)  8 Mo 2.75, 4 Re 2.80
Re (0.5000, 0.7500, 0.8750)  8 Mo 2.75, 4 Re 2.80
Mo (0.0000, 0.2500, 0.7979)  4 Re 2.75, 6 Mo 2.76-2.80
Mo (0.0000, 0.2500, 0.9521)  4 Re 2.75, 6 Mo 2.76-2.80
Mo (0.0000, 0.7500, 0.0479)  4 Re 2.75, 6 Mo 2.76-2.80
Mo (0.0000, 0.7500, 0.2021)  4 Re 2.75, 6 Mo 2.76-2.80
Mo (0.5000, 0.2500, 0.5479)  4 Re 2.75, 6 Mo 2.76-2.80
Mo (0.5000, 0.2500, 0.7021)  4 Re 2.75, 6 Mo 2.76-2.80
Mo (0.5000, 0.7500, 0.2979)  4 Re 2.75, 6 Mo 2.76-2.80
Mo (0.5000, 0.7500, 0.4521)  4 Re 2.75, 6 Mo 2.76-2.80

energy of formation: 440 meV/atom

No. 4
Entry from the Alexandria database: crystalline LiTh2Zr at its relaxed geometry (GGA-PBE).

Unit cell a=3.3301 b=3.3301 c=36.5777 alpha=90.00 beta=90.00 gamma=120.00
Closest atoms and distances in Å follow each position.
Atoms (fractional coordinates):
Li (0.0000, 0.0000, 0.0000)  2 Th 3.29, 6 Li 3.33
Li (0.3333, 0.6667, 0.6667)  2 Th 3.29, 6 Li 3.33
Li (0.6667, 0.3333, 0.3333)  2 Th 3.29, 6 Li 3.33
Th (0.0000, 0.0000, 0.0900)  1 Li 3.29, 6 Th 3.33, 3 Zr 3.40
Th (0.0000, 0.0000, 0.9100)  1 Li 3.29, 6 Th 3.33, 3 Zr 3.40
Th (0.3333, 0.6667, 0.5766)  1 Li 3.29, 6 Th 3.33, 3 Zr 3.40
Th (0.3333, 0.6667, 0.7567)  1 Li 3.29, 6 Th 3.33, 3 Zr 3.40
Th (0.6667, 0.3333, 0.2433)  1 Li 3.29, 6 Th 3.33, 3 Zr 3.40
Th (0.6667, 0.3333, 0.4234)  1 Li 3.29, 6 Th 3.33, 3 Zr 3.40
Zr (0.0000, 0.0000, 0.5000)  6 Zr 3.33, 6 Th 3.40
Zr (0.3333, 0.6667, 0.1667)  6 Zr 3.33, 6 Th 3.40
Zr (0.6667, 0.3333, 0.8333)  6 Zr 3.33, 6 Th 3.40

energy of formation: 266 meV/atom

Taking the records one at a time from the top gives total magnetization values of 0.00, 0.00, 0.00, 0.00 Bohr magnetons per cell.